1:
This record from OQMD via LeMat-Bulk describes a geometry-optimized AlB4Mo structure. The functional is GGA-PBE.

Summary:
- Magnetic moment: 0.0 μB per formula unit
- Space group: P6/mmm (191)

a = 2.980 Å, b = 2.980 Å, c = 6.764 Å
α = 90.00°, β = 90.00°, γ = 120.00°
Positions (direct):
Al1 0.000 0.000 0.500
B1 0.667 0.333 0.259
B2 0.333 0.667 0.259
B3 0.667 0.333 0.741
B4 0.333 0.667 0.741
Mo1 0.000 0.000 0.000


2:
This record from OQMD via LeMat-Bulk describes a geometry-optimized AlB4Mo structure. The functional is GGA-PBE.

Summary:
- Magnetic moment: 0.0 μB per formula unit
- Space group: Pbam (55)

a = 6.099 Å, b = 10.600 Å, c = 3.545 Å
α = 90.00°, β = 90.00°, γ = 90.00°
Positions (direct):
Al1 0.914 0.143 0.000
Al2 0.414 0.357 0.000
Al3 0.586 0.643 0.000
Al4 0.086 0.857 0.000
B1 0.134 0.018 0.500
B2 0.605 0.061 0.500
B3 0.179 0.183 0.500
B4 0.472 0.209 0.500
B5 0.972 0.291 0.500
B6 0.679 0.317 0.500
B7 0.105 0.439 0.500
B8 0.634 0.482 0.500
B9 0.366 0.518 0.500
B10 0.895 0.561 0.500
B11 0.321 0.683 0.500
B12 0.028 0.709 0.500
B13 0.528 0.791 0.500
B14 0.821 0.817 0.500
B15 0.395 0.939 0.500
B16 0.866 0.982 0.500
Mo1 0.352 0.083 0.000
Mo2 0.852 0.417 0.000
Mo3 0.148 0.583 0.000
Mo4 0.648 0.917 0.000


3:
This record from OQMD via LeMat-Bulk describes a geometry-optimized AlB4Mo structure. The functional is GGA-PBE.

Summary:
- Magnetic moment: 0.0 μB per formula unit
- Space group: Immm (71)

a = 4.496 Å, b = 4.496 Å, c = 4.496 Å
α = 141.25°, β = 109.89°, γ = 83.10°
Positions (direct):
Al1 0.000 0.000 0.000
B1 0.592 0.256 0.336
B2 0.080 0.744 0.336
B3 0.920 0.256 0.664
B4 0.408 0.744 0.664
Mo1 0.500 0.500 0.000


Decreasing stability: 3, 1, 2


1:
This record from OQMD via LeMat-Bulk describes a geometry-optimized NdAlB4 structure. The functional is GGA-PBE.

Summary:
- Magnetic moment: 0.0 μB per formula unit
- Space group: Immm (71)

a = 5.123 Å, b = 5.123 Å, c = 5.123 Å
α = 143.18°, β = 117.91°, γ = 74.42°
Positions (direct):
Al1 0.000 0.000 0.000
B1 0.569 0.242 0.327
B2 0.086 0.758 0.327
B3 0.914 0.242 0.673
B4 0.431 0.758 0.673
Nd1 0.500 0.500 0.000


2:
This record from OQMD via LeMat-Bulk describes a geometry-optimized NdAlB4 structure. The functional is GGA-PBE.

Summary:
- Magnetic moment: 0.0 μB per formula unit
- Space group: P6/mmm (191)

a = 3.118 Å, b = 3.118 Å, c = 7.565 Å
α = 90.00°, β = 90.00°, γ = 120.00°
Positions (direct):
Al1 0.000 0.000 0.000
B1 0.667 0.333 0.207
B2 0.333 0.667 0.207
B3 0.667 0.333 0.793
B4 0.333 0.667 0.793
Nd1 0.000 0.000 0.500


Decreasing stability: 2, 1


1:
This record from OQMD via LeMat-Bulk describes a geometry-optimized PrAlB4 structure. The functional is GGA-PBE.

Summary:
- Magnetic moment: 0.0 μB per formula unit
- Space group: Immm (71)

a = 5.171 Å, b = 5.171 Å, c = 5.171 Å
α = 143.45°, β = 118.33°, γ = 73.86°
Positions (direct):
Al1 0.000 0.000 0.000
B1 0.569 0.242 0.327
B2 0.085 0.758 0.327
B3 0.915 0.242 0.673
B4 0.431 0.758 0.673
Pr1 0.500 0.500 0.000


2:
This record from OQMD via LeMat-Bulk describes a geometry-optimized PrAlB4 structure. The functional is GGA-PBE.

Summary:
- Magnetic moment: 0.0 μB per formula unit
- Space group: P6/mmm (191)

a = 3.123 Å, b = 3.123 Å, c = 7.627 Å
α = 90.00°, β = 90.00°, γ = 120.00°
Positions (direct):
Al1 0.000 0.000 0.500
B1 0.667 0.333 0.295
B2 0.333 0.667 0.295
B3 0.667 0.333 0.705
B4 0.333 0.667 0.705
Pr1 0.000 0.000 0.000


Decreasing stability: 2, 1


1:
This record from OQMD via LeMat-Bulk describes a geometry-optimized PrAlB structure. The functional is GGA-PBE.

Summary:
- Magnetic moment: 0.0 μB per formula unit
- Space group: F-43m (216)

a = 4.334 Å, b = 4.334 Å, c = 4.334 Å
α = 60.00°, β = 60.00°, γ = 60.00°
Positions (direct):
Al1 0.250 0.250 0.250
B1 0.000 0.000 0.000
Pr1 0.750 0.750 0.750


2:
This record from OQMD via LeMat-Bulk describes a geometry-optimized PrAlB structure. The functional is GGA-PBE.

Summary:
- Magnetic moment: 0.0 μB per formula unit
- Space group: F-43m (216)

a = 4.409 Å, b = 4.409 Å, c = 4.409 Å
α = 60.00°, β = 60.00°, γ = 60.00°
Positions (direct):
Al1 0.000 0.000 0.000
B1 0.250 0.250 0.250
Pr1 0.750 0.750 0.750


Decreasing stability: 1, 2


1:
This record from OQMD via LeMat-Bulk describes a geometry-optimized AlB4Pt structure. The functional is GGA-PBE.

Summary:
- Magnetic moment: 0.0 μB per formula unit
- Space group: P6/mmm (191)

a = 3.029 Å, b = 3.029 Å, c = 6.805 Å
α = 90.00°, β = 90.00°, γ = 120.00°
Positions (direct):
Al1 0.000 0.000 0.000
B1 0.667 0.333 0.226
B2 0.333 0.667 0.226
B3 0.667 0.333 0.774
B4 0.333 0.667 0.774
Pt1 0.000 0.000 0.500


2:
This record from OQMD via LeMat-Bulk describes a geometry-optimized AlB4Pt structure. The functional is GGA-PBE.

Summary:
- Magnetic moment: 0.0 μB per formula unit
- Space group: Immm (71)

a = 4.603 Å, b = 4.603 Å, c = 4.603 Å
α = 141.08°, β = 111.32°, γ = 81.85°
Positions (direct):
Al1 0.000 0.000 0.000
B1 0.591 0.264 0.327
B2 0.062 0.736 0.327
B3 0.938 0.264 0.673
B4 0.409 0.736 0.673
Pt1 0.500 0.500 0.000


Decreasing stability: 1, 2


1:
This record from OQMD via LeMat-Bulk describes a geometry-optimized SmAlB4 structure. The functional is GGA-PBE.

Summary:
- Magnetic moment: 0.0 μB per formula unit
- Space group: P6/mmm (191)

a = 3.115 Å, b = 3.115 Å, c = 7.445 Å
α = 90.00°, β = 90.00°, γ = 120.00°
Positions (direct):
Al1 0.000 0.000 0.000
B1 0.667 0.333 0.211
B2 0.333 0.667 0.211
B3 0.667 0.333 0.789
B4 0.333 0.667 0.789
Sm1 0.000 0.000 0.500


2:
This record from OQMD via LeMat-Bulk describes a geometry-optimized SmAlB4 structure. The functional is GGA-PBE.

Summary:
- Magnetic moment: 0.0 μB per formula unit
- Space group: Immm (71)

a = 5.046 Å, b = 5.046 Å, c = 5.046 Å
α = 142.76°, β = 117.16°, γ = 75.37°
Positions (direct):
Al1 0.000 0.000 0.000
B1 0.569 0.241 0.327
B2 0.086 0.759 0.327
B3 0.914 0.241 0.673
B4 0.431 0.759 0.673
Sm1 0.500 0.500 0.000


Decreasing stability: 1, 2